Here is a geometry-optimized Mn2SiIr structure from Alexandria via LeMat-Bulk. Energies are from PBEsol.

Output
M_tot = 2.979 μB per formula unit
volume = 48.0 Å³/cell
space-group type = Pmmm, No. 47
formation energy without anion corrections = -0.3199 eV/atom
N(E_F) = 1.89 states/eV/f.u.

The structure in extended XYZ format:
```
4
Lattice="2.9375 0.0000 0.0000 0.0000 4.0301 0.0000 0.0000 0.0000 4.0576" Properties=species:S:1:pos:R:3 pbc="T T T"
Mn 1.4687 2.0150 0.0000
Mn 0.0000 0.0000 0.0000
Ir 0.0000 2.0150 2.0288
Si 1.4687 0.0000 2.0288
```